Below is a relaxed structure of Tm2HgIr, with properties calculated at the PBE-GGA level.

Values from the calculation:
Energy of formation from the pure elements ... -0.626 eV/atom
ρ ... 11.9 g cm⁻³
Symmetry ... R-3m

Unit cell a=7.799 b=7.799 c=7.799 alpha=29.58 beta=29.58 gamma=29.58
Element x y z (fractional)
Tm: 0.233 0.233 0.233
Tm: 0.767 0.767 0.767
Hg: 0.000 0.000 0.000
Ir: 0.500 0.500 0.500